Record 1
{"formula": "Ce2O3", "functional": "PBE", "state": "optimized geometry", "spacegroup": "Ia-3, No. 206", "crystal_system": "cubic", "raw_formation_energy_mev_per_atom": -3342, "cell": [[-1.9128, 7.9906, -4.9912], [-4.9168, 0.1272, 8.2602], [9.4178, -0.4249, 1.8828]], "species": ["Ce", "Ce", "O", "O", "O", "O", "Ce", "Ce", "Ce", "O", "O", "O", "O", "O", "O", "O", "Ce", "Ce", "O", "Ce", "O", "Ce", "Ce", "O", "Ce", "Ce", "O", "O", "O", "O", "O", "Ce", "Ce", "O", "O", "O", "O", "O", "Ce", "Ce"], "fractional_positions": [[0.7500, 0.7708, 0.0208], [0.2708, 0.5208, 0.7500], [0.9780, 0.5100, 0.2425], [0.2325, 0.2644, 0.7425], [0.7675, 0.7356, 0.2575], [0.7325, 0.9900, 0.9681], [0.7500, 0.2708, 0.5208], [0.2292, 0.9792, 0.2500], [0.0000, 0.0000, 0.5000], [0.2644, 0.7425, 0.2325], [0.7356, 0.2575, 0.7675], [0.5220, 0.7644, 0.5319], [0.5100, 0.2425, 0.9780], [0.0319, 0.2675, 0.0100], [0.2675, 0.0100, 0.0319], [0.9681, 0.7325, 0.9900], [0.0208, 0.7500, 0.7708], [0.4792, 0.2500, 0.7292], [0.2356, 0.4681, 0.4780], [0.7708, 0.0208, 0.7500], [0.5319, 0.5220, 0.7644], [0.9792, 0.2500, 0.2292], [0.0000, 0.5000, 0.0000], [0.7575, 0.0220, 0.4900], [0.2500, 0.2292, 0.9792], [0.5000, 0.0000, 0.0000], [0.2575, 0.7675, 0.7356], [0.9900, 0.9681, 0.7325], [0.2425, 0.9780, 0.5100], [0.4900, 0.7575, 0.0220], [0.0220, 0.4900, 0.7575], [0.5000, 0.5000, 0.5000], [0.2500, 0.7292, 0.4792], [0.7644, 0.5319, 0.5220], [0.7425, 0.2325, 0.2644], [0.4681, 0.4780, 0.2356], [0.4780, 0.2356, 0.4681], [0.0100, 0.0319, 0.2675], [0.7292, 0.4792, 0.2500], [0.5208, 0.7500, 0.2708]]}



Record 2
{"formula": "PmEr3Ir", "functional": "PBE", "state": "optimized geometry", "e_form_ev_per_atom": -0.31, "spacegroup": "Pm-3m, No. 221", "crystal_system": "cubic", "cell": [[5.4007, 0.0000, 0.0000], [0.0000, 5.4007, 0.0000], [0.0000, 0.0000, 5.4007]], "species": ["Pm", "Er", "Ir", "Er", "Er"], "fractional_positions": [[0.5000, 0.5000, 0.5000], [0.0000, 0.0000, 0.5000], [0.0000, 0.0000, 0.0000], [0.0000, 0.5000, 0.0000], [0.5000, 0.0000, 0.0000]]}



Record 3
{"formula": "TlSi2Os2", "functional": "PBE", "state": "optimized geometry", "spacegroup": "P4/mbm, No. 127", "crystal_system": "tetragonal", "raw_formation_energy_mev_per_atom": 168, "cell": [[-0.9624, 6.8525, -2.3786], [-2.4791, 1.9443, 6.6042], [2.7146, 0.6668, 0.8227]], "species": ["Tl", "Si", "Tl", "Si", "Si", "Os", "Os", "Si", "Os", "Os"], "fractional_positions": [[0.5000, 0.5000, 0.0000], [0.3612, 0.1388, 0.5000], [0.0000, 0.0000, 0.0000], [0.8612, 0.3612, 0.5000], [0.6388, 0.8612, 0.5000], [0.1489, 0.3511, 0.0000], [0.3511, 0.8511, 0.0000], [0.1388, 0.6388, 0.5000], [0.6489, 0.1489, 0.0000], [0.8511, 0.6489, 0.0000]]}



Record 4
{"formula": "Zr5P2C", "functional": "PBE", "state": "optimized geometry", "e_form_ev_per_atom": -0.70, "spacegroup": "Cmcm, No. 63", "crystal_system": "orthorhombic", "cell": [[-2.1858, 1.8912, -4.1821], [4.3776, -3.6138, -0.8323], [-7.6275, -9.1996, -0.1737]], "species": ["C", "P", "Zr", "Zr", "Zr", "Zr", "C", "Zr", "Zr", "Zr", "P", "Zr", "Zr", "Zr", "P", "P"], "fractional_positions": [[0.2246, 0.4492, 0.2500], [0.8151, 0.6301, 0.4458], [0.0568, 0.1137, 0.3751], [0.6311, 0.2622, 0.6092], [0.3689, 0.7378, 0.1092], [0.2907, 0.5814, 0.7500], [0.7754, 0.5508, 0.7500], [0.0568, 0.1137, 0.1249], [0.3689, 0.7378, 0.3908], [0.7093, 0.4186, 0.2500], [0.1849, 0.3699, 0.9458], [0.6311, 0.2622, 0.8908], [0.9432, 0.8863, 0.6249], [0.9432, 0.8863, 0.8751], [0.1849, 0.3699, 0.5542], [0.8151, 0.6301, 0.0542]]}



Record 5
{"formula": "La5Tl2Sn", "functional": "PBE", "state": "optimized geometry", "e_form_ev_per_atom": -0.41, "spacegroup": "P1, No. 1", "crystal_system": "triclinic", "cell": [[-2.8969, 3.2010, -5.8539], [-6.4953, -6.9961, -0.6192], [2.4614, 3.7810, 5.3702]], "species": ["La", "La", "Sn", "Tl", "Tl", "La", "La", "La"], "fractional_positions": [[0.1876, 0.7117, 0.9098], [0.7212, 0.1996, 0.9081], [0.2199, 0.2221, 0.4443], [0.7269, 0.2233, 0.4471], [0.2216, 0.7213, 0.4426], [0.7202, 0.7217, 0.4432], [0.2580, 0.2444, 0.9808], [0.7215, 0.7329, 0.9782]]}



Record 6
{"formula": "Y8Zn2Pt", "functional": "PBE", "state": "optimized geometry", "e_form_ev_per_atom": -0.34, "spacegroup": "C2/m, No. 12", "crystal_system": "monoclinic", "cell": [[5.0996, 0.0000, 0.0000], [0.0000, 6.7555, 0.3502], [-2.5498, -2.4712, 8.5219]], "species": ["Y", "Y", "Y", "Zn", "Y", "Zn", "Y", "Y", "Y", "Pt", "Y"], "fractional_positions": [[0.0278, 0.7791, 0.0556], [0.7955, 0.6734, 0.5910], [0.5897, 0.4432, 0.1794], [0.1903, 0.7379, 0.3805], [0.6599, 0.9691, 0.3199], [0.8097, 0.2621, 0.6195], [0.9722, 0.2209, 0.9444], [0.3401, 0.0309, 0.6801], [0.2045, 0.3266, 0.4090], [0.5000, 0.0000, 0.0000], [0.4103, 0.5568, 0.8206]]}



Record 7
{"formula": "CaCuPC2", "functional": "PBE", "state": "optimized geometry", "e_form_ev_per_atom": 1.40, "spacegroup": "P4/mmm, No. 123", "crystal_system": "tetragonal", "cell": [[-1.6787, 3.5071, 0.5234], [-0.6683, -1.0199, 4.6905], [3.5045, 1.5525, 0.8369]], "species": ["C", "Cu", "Ca", "P", "C"], "fractional_positions": [[0.0000, 0.0000, 0.5000], [0.0000, 0.0000, 0.0000], [0.5000, 0.5000, 0.5000], [0.0000, 0.5000, 0.0000], [0.5000, 0.0000, 0.0000]]}



Record 8
{"formula": "ErZr4Sc7", "functional": "PBE", "state": "optimized geometry", "e_form_ev_per_atom": 0.27, "spacegroup": "C2/m, No. 12", "crystal_system": "monoclinic", "cell": [[5.4583, 0.0000, 0.0000], [2.7291, 7.7013, 1.0084], [2.7291, 0.9853, 7.2022]], "species": ["Sc", "Sc", "Zr", "Zr", "Sc", "Sc", "Zr", "Er", "Sc", "Zr", "Sc", "Sc"], "fractional_positions": [[0.7931, 0.8825, 0.5314], [0.5000, 0.0000, 0.0000], [0.3152, 0.3557, 0.0140], [0.5370, 0.2913, 0.6348], [0.0785, 0.5686, 0.2744], [0.9215, 0.4314, 0.7256], [0.4630, 0.7087, 0.3652], [0.0000, 0.0000, 0.0000], [0.2755, 0.6978, 0.7513], [0.6848, 0.6443, 0.9860], [0.2069, 0.1175, 0.4686], [0.7245, 0.3022, 0.2487]]}



Record 9
{"formula": "Pm3PuTh2As6", "functional": "PBE", "state": "optimized geometry", "e_form_ev_per_atom": -1.42, "spacegroup": "C2/m, No. 12", "crystal_system": "monoclinic", "cell": [[4.2379, 0.0000, 0.0000], [0.0000, 8.4505, 0.2994], [-2.1190, -2.4373, 8.8985]], "species": ["As", "Th", "Pm", "Th", "Pm", "As", "As", "As", "As", "Pu", "As", "Pm"], "fractional_positions": [[0.6656, 0.0828, 0.3312], [0.8352, 0.6699, 0.6703], [0.1665, 0.8338, 0.3330], [0.1648, 0.3301, 0.3297], [0.5000, 0.5000, 0.0000], [0.3344, 0.9172, 0.6688], [0.3325, 0.4176, 0.6651], [0.9999, 0.2452, 0.9997], [0.0001, 0.7548, 0.0003], [0.5000, 0.0000, 0.0000], [0.6675, 0.5824, 0.3349], [0.8335, 0.1662, 0.6670]]}



Record 10
{"formula": "P2C", "functional": "PBE", "state": "optimized geometry", "e_form_ev_per_atom": 1.35, "spacegroup": "Cmcm, No. 63", "crystal_system": "orthorhombic", "cell": [[2.3799, -5.3529, 0.0000], [2.3799, 5.3529, 0.0000], [0.0000, 0.0000, 4.2973]], "species": ["P", "P", "C", "C", "P", "P"], "fractional_positions": [[0.0603, 0.2574, 0.2500], [0.9397, 0.7426, 0.7500], [0.8259, 0.8259, 0.2500], [0.1741, 0.1741, 0.7500], [0.2574, 0.0603, 0.2500], [0.7426, 0.9397, 0.7500]]}



Record 11
{"formula": "HoHfTcRh", "functional": "PBE", "state": "optimized geometry", "e_form_ev_per_atom": -0.56, "spacegroup": "F-43m, No. 216", "crystal_system": "cubic", "cell": [[-1.0732, 4.4354, -1.1338], [-3.3854, 2.2720, 2.3424], [1.1135, 3.5095, 2.9246]], "species": ["Hf", "Rh", "Tc", "Ho"], "fractional_positions": [[0.7500, 0.7500, 0.7500], [0.0000, 0.0000, 0.0000], [0.5000, 0.5000, 0.5000], [0.2500, 0.2500, 0.2500]]}



Number 1: theoretical density 6.38 g cm⁻³, electronic total energy -8.690 eV/atom. Number 2: theoretical density 8.84 g cm⁻³, electronic total energy -5.773 eV/atom. Number 3: theoretical density 13.65 g cm⁻³, electronic total energy -6.967 eV/atom. Number 4: theoretical density 5.63 g cm⁻³, electronic total energy -8.548 eV/atom. Number 5: theoretical density 8.06 g cm⁻³, electronic total energy -4.582 eV/atom. Number 6: theoretical density 5.78 g cm⁻³, electronic total energy -5.820 eV/atom. Number 7: theoretical density 3.53 g cm⁻³, electronic total energy -4.595 eV/atom. Number 8: theoretical density 4.73 g cm⁻³, electronic total energy -6.657 eV/atom. Number 9: theoretical density 8.22 g cm⁻³, electronic total energy -7.365 eV/atom. Number 10: theoretical density 2.24 g cm⁻³, electronic total energy -5.332 eV/atom. Number 11: theoretical density 12.30 g cm⁻³, electronic total energy -8.623 eV/atom.